i:
Entry from the Open Quantum Materials Database: an optimized crystal structure of Ba2YTcS6 (PBE).

Computed properties:
space-group type: No. 148
total magnetization: 0.198 μB per atom

```
Ba2YTcS6
1.0
3.580 2.067 5.621
-3.580 2.067 5.621
0.000 -4.134 5.621
S Tc Y Ba
6 1 1 2
Direct
0.731 0.319 0.207
0.792 0.268 0.680
0.268 0.680 0.792
0.680 0.792 0.268
0.319 0.207 0.731
0.207 0.731 0.319
0.500 0.500 0.500
0.000 0.000 0.000
0.747 0.747 0.747
0.252 0.252 0.252
```

=====

ii:
Entry from the Open Quantum Materials Database: an optimized crystal structure of Ba2YTcS6 (PBE).

Computed properties:
space-group type: No. 225
total magnetization: 0.211 μB per atom

```
Ba2YTcS6
1.0
0.000 5.005 5.005
5.005 0.000 5.005
5.005 5.005 0.000
S Ba Y Tc
6 2 1 1
Direct
0.763 0.763 0.237
0.237 0.763 0.763
0.763 0.237 0.763
0.237 0.237 0.763
0.763 0.237 0.237
0.237 0.763 0.237
0.250 0.250 0.250
0.750 0.750 0.750
0.500 0.500 0.500
0.000 0.000 0.000
```

=====

Tell me which of them is the most stable. Sure, it is i.

=====

i:
Entry from the Open Quantum Materials Database: an optimized crystal structure of Ba2YTcS6 (PBE).

Computed properties:
space-group type: No. 12
total magnetization: 0.198 μB per atom

```
Ba2YTcS6
1.0
6.095 -3.492 0.000
6.095 3.492 0.000
-4.191 0.000 5.863
S Y Ba Tc
6 1 2 1
Direct
0.796 0.275 0.802
0.275 0.796 0.802
0.236 0.236 0.303
0.204 0.725 0.198
0.764 0.764 0.697
0.725 0.204 0.198
0.500 0.500 0.500
0.251 0.251 0.755
0.749 0.749 0.245
0.000 0.000 0.000
```

=====

ii:
Entry from the Open Quantum Materials Database: an optimized crystal structure of Ba2YTcS6 (PBE).

Computed properties:
space-group type: No. 87
total magnetization: 0.210 μB per atom

```
Ba2YTcS6
1.0
-0.878 4.805 5.127
0.260 5.186 -4.814
-4.656 -5.284 -0.735
S Ba Tc Y
6 2 1 1
Direct
0.230 0.755 0.985
0.763 0.763 0.000
0.245 0.230 0.475
0.755 0.770 0.525
0.770 0.245 0.015
0.237 0.237 0.000
0.250 0.750 0.500
0.750 0.250 0.500
0.000 0.000 0.000
0.500 0.500 0.000
```

=====

Tell me which of them is the most stable. Sure, it is i.

=====

i:
Entry from the Open Quantum Materials Database: an optimized crystal structure of BaTmS2 (PBE).

Computed properties:
space-group type: No. 62
total magnetization: 0.001 μB per atom

```
BaTmS2
1.0
-0.016 -6.911 2.275
4.021 0.381 1.186
-4.107 4.154 12.594
Ba S Tm
4 8 4
Direct
0.410 0.250 0.861
0.910 0.250 0.639
0.090 0.750 0.361
0.590 0.750 0.139
0.163 0.750 0.745
0.720 0.750 0.488
0.280 0.250 0.512
0.663 0.750 0.755
0.337 0.250 0.245
0.837 0.250 0.255
0.780 0.250 0.988
0.220 0.750 0.012
0.579 0.250 0.392
0.079 0.250 0.108
0.921 0.750 0.892
0.421 0.750 0.608
```

=====

ii:
Entry from the Open Quantum Materials Database: an optimized crystal structure of BaTmS2 (PBE).

Computed properties:
space-group type: No. 123
total magnetization: 0.000 μB per atom

```
BaTmS2
1.0
-0.792 -2.626 -3.196
-0.502 -3.169 2.728
-5.776 1.258 0.398
Tm Ba S
1 1 2
Direct
0.500 0.500 0.500
0.000 0.000 0.000
0.500 0.500 0.000
0.000 0.000 0.500
```

=====

Tell me which of them is the most stable. Sure, it is i.